(1)
## SrZn2Sb (GGA-PBEsol)

Data for a relaxed structure of SrZn2Sb.

Cell and atoms, written as POSCAR:
```
SrZn2Sb
1.0
-0.7625 -2.5026 -3.6440
0.5008 -3.7229 2.4520
-4.5060 0.0102 0.9358
Sb Sr Zn
1 1 2
direct
0.5000 0.5000 0.5000 Sb
0.0000 0.0000 0.5000 Sr
0.5000 0.0000 0.0000 Zn
0.0000 0.5000 0.0000 Zn
```

Properties
- E_form (uncorrected): -0.22 eV/atom
- VASP energy: -0.096 Ha/atom
- D(E_F): 0.38 states/eV per atom


(2)
## MgSc2Tc (GGA-PBEsol)

Data for a relaxed structure of MgSc2Tc.

Cell and atoms, written as POSCAR:
```
MgSc2Tc
1.0
3.2711 0.0000 0.0000
0.0000 3.2711 0.0000
0.0000 0.0000 7.4653
Sc Mg Tc
2 1 1
direct
0.0000 0.0000 0.8016 Sc
0.0000 0.0000 0.1984 Sc
0.5000 0.5000 0.5000 Mg
0.5000 0.5000 0.0000 Tc
```

Properties
- VASP energy: -0.247 Ha/atom
- Energy of formation from the pure elements: -176 meV per atom
- D(E_F): 1.00 states/eV per atom


(3)
## Sc3TaGe (GGA-PBEsol)

Data for a relaxed structure of Sc3TaGe.

Cell and atoms, written as POSCAR:
```
Sc3TaGe
1.0
-1.4244 -4.5651 -1.2400
4.5293 -0.9423 -1.7333
1.3652 -1.6366 4.4570
Sc Ge Ta
3 1 1
direct
0.0000 0.0000 0.5000 Sc
0.0000 0.5000 0.0000 Sc
0.5000 0.0000 0.0000 Sc
0.0000 0.0000 0.0000 Ge
0.5000 0.5000 0.5000 Ta
```

Properties
- VASP energy: -0.254 Ha/atom
- Energy of formation from the pure elements: 551 meV per atom
- D(E_F): 1.24 states/eV per atom


(4)
## Y2TaSb (GGA-PBEsol)

Data for a relaxed structure of Y2TaSb.

Cell and atoms, written as POSCAR:
```
Y2TaSb
1.0
-0.3129 -3.1712 1.5366
2.7730 -2.1941 0.1091
3.4936 2.0072 8.9261
Y Sb Ta
2 1 1
direct
0.7620 0.7620 0.7140 Y
0.9887 0.9887 0.0339 Y
0.5088 0.5088 0.4735 Sb
0.2405 0.2405 0.2786 Ta
```

Properties
- E_form (uncorrected): 0.07 eV/atom
- VASP energy: -0.280 Ha/atom
- D(E_F): 1.07 states/eV per atom


(5)
## YPIr2 (GGA-PBEsol)

Data for a relaxed structure of YPIr2.

Cell and atoms, written as POSCAR:
```
YPIr2
1.0
3.1031 0.0000 0.0000
0.0000 3.1031 0.0000
0.0000 0.0000 6.8274
Y P Ir
1 1 2
direct
0.5000 0.5000 0.7522 Y
0.0000 0.0000 0.4342 P
0.0000 0.0000 0.0221 Ir
0.5000 0.5000 0.2915 Ir
```

Properties
- VASP energy: -0.309 Ha/atom
- Energy of formation from the pure elements: -356 meV per atom
- D(E_F): 0.61 states/eV per atom


(6)
## CsNbSn2Rh (GGA-PBEsol)

Data for a relaxed structure of CsNbSn2Rh.

Cell and atoms, written as POSCAR:
```
CsNbSn2Rh
1.0
4.7800 0.0000 0.0000
0.0000 5.4776 0.0000
0.0000 0.0000 5.4776
Sn Rh Nb Cs
2 1 1 1
direct
0.0000 0.5000 0.0000 Sn
0.0000 0.0000 0.5000 Sn
0.5000 0.0000 0.0000 Rh
0.0000 0.0000 0.0000 Nb
0.5000 0.5000 0.5000 Cs
```

Properties
- VASP energy: -0.193 Ha/atom
- Energy of formation from the pure elements: 431 meV per atom
- D(E_F): 0.53 states/eV per atom


> D(E_F) of number 6 (CsNbSn2Rh)?

0.53 states/eV per atom


> What is the D(E_F) in the first record?

0.38 states/eV per atom


Repeat the second record exactly.
## MgSc2Tc (GGA-PBEsol)

Data for a relaxed structure of MgSc2Tc.

Cell and atoms, written as POSCAR:
```
MgSc2Tc
1.0
3.2711 0.0000 0.0000
0.0000 3.2711 0.0000
0.0000 0.0000 7.4653
Sc Mg Tc
2 1 1
direct
0.0000 0.0000 0.8016 Sc
0.0000 0.0000 0.1984 Sc
0.5000 0.5000 0.5000 Mg
0.5000 0.5000 0.0000 Tc
```

Properties
- VASP energy: -0.247 Ha/atom
- Energy of formation from the pure elements: -176 meV per atom
- D(E_F): 1.00 states/eV per atom